1.
First-principles (GGA-PBE) data for Ho2CoBr after structural relaxation, as listed in the Alexandria database.

Properties
Raw formation energy (eV per atom): -0.7200
N(E_F) (states/eV/f.u.): 0.67
ΔE to the lowest computed polymorph (meV per atom): 16

Cell lengths 3.8455, 3.8455, 7.9256 Å; angles 75.96, 75.96, 60.00 degrees
Closest atoms and distances in Å follow each position.
Fractional coordinates of all 4 atoms:
Ho 0.2717 0.2717 0.1848  3 Co 2.63
Ho 0.0632 0.0632 0.8104  3 Co 2.64
Co 0.6672 0.6672 0.9985  6 Ho 2.63-2.64
Br 0.4979 0.4979 0.5064  6 Ho 3.21-3.30

---

2.
First-principles (GGA-PBE) data for Ho2CoBr after structural relaxation, as listed in the Alexandria database.

Properties
Raw formation energy (eV per atom): -0.7361
N(E_F) (states/eV/f.u.): 1.01
ΔE to the lowest computed polymorph (meV per atom): 0

Cell lengths 3.8412, 3.8412, 7.8917 Å; angles 75.91, 75.91, 60.00 degrees
Closest atoms and distances in Å follow each position.
Fractional coordinates of all 4 atoms:
Ho 0.7297 0.7297 0.8108  3 Co 2.64
Co 0.0000 0.0000 0.0000  6 Ho 2.64
Br 0.5000 0.5000 0.5000  6 Ho 3.23
Ho 0.2703 0.2703 0.1892  3 Co 2.64